1.
A relaxed MnCl crystal. Source: Alexandria via LeMat-Bulk, functional GGA-PBEsol.

Cell: 3.120 3.120 3.120 Å, 90.00 90.00 90.00°
Space group Pm-3m (No. 221)
Unique sites:
Mn (0.000, 0.000, 0.000)
Cl (0.500, 0.500, 0.500)

***

2.
A relaxed MnCl3 crystal. Source: Alexandria via LeMat-Bulk, functional GGA-PBEsol.

Cell: 6.634 6.634 6.634 Å, 90.00 90.00 90.00°
Space group Fm-3m (No. 225)
Unique sites:
Mn (0.000, 0.000, 0.000)
Cl (0.000, 0.000, 0.500)
Cl (0.250, 0.250, 0.250)

***

3.
A relaxed Mn2Cl crystal. Source: Alexandria via LeMat-Bulk, functional GGA-PBEsol.

Cell: 9.016 2.916 7.681 Å, 90.00 101.19 90.00°
Space group C2/m (No. 12)
Unique sites:
Mn (0.046, 0.000, 0.369)
Mn (0.168, 0.500, 0.609)
Cl (0.162, 0.500, 0.178)

***

Number 1: uncorrected formation energy 0.132 eV/atom. Number 2: uncorrected formation energy -0.006 eV/atom. Number 3: uncorrected formation energy 0.085 eV/atom.